# YAsP2

A relaxed structure of YAsP2 (GGA-PBE, the Alexandria database).

Properties
**SG**: P4mm, No. 99
**DFT formation energy**: -0.60 eV per atom
**N(E_F)**: 0.77 states/eV per cell

Lattice parameters (Å, degrees): 3.9144 3.9144 5.7334 90.00 90.00 90.00
Fractional positions:
As1 0.5000 0.5000 0.9399
P1 0.0000 0.0000 0.8602
P2 0.5000 0.5000 0.3540
Y1 0.0000 0.0000 0.3459

=====

# Ca2ZnAu

A relaxed structure of Ca2ZnAu (GGA-PBE, the Alexandria database).

Properties
**SG**: Pm, No. 6
**DFT formation energy**: -0.55 eV per atom
**N(E_F)**: 2.08 states/eV per cell

Lattice parameters (Å, degrees): 4.5296 4.1429 5.9380 69.48 90.00 90.00
Fractional positions:
Zn1 0.0000 0.6947 0.4879
Au1 0.5000 0.5549 0.7632
Ca1 0.0000 0.9812 0.9114
Ca2 0.5000 0.2693 0.3374

=====

# La2Pr7DyTl2

A relaxed structure of La2Pr7DyTl2 (GGA-PBE, the Alexandria database).

Properties
**SG**: C2/m, No. 12
**DFT formation energy**: -0.04 eV per atom
**N(E_F)**: 17.04 states/eV per cell

Lattice parameters (Å, degrees): 4.8705 4.8705 18.0131 82.27 82.27 90.01
Fractional positions:
La1 0.6679 0.6679 0.6642
La2 0.3321 0.3321 0.3358
Pr1 0.5000 0.5000 0.0000
Pr2 0.2303 0.2303 0.5395
Pr3 0.7697 0.7697 0.4605
Pr4 0.9223 0.4219 0.1560
Pr5 0.4219 0.9223 0.1560
Pr6 0.5781 0.0777 0.8440
Pr7 0.0777 0.5781 0.8440
Dy1 0.0000 0.0000 0.0000
Tl1 0.8580 0.8580 0.2844
Tl2 0.1420 0.1420 0.7156

=====

# AgTeOs2

A relaxed structure of AgTeOs2 (GGA-PBE, the Alexandria database).

Properties
**SG**: P4/mmm, No. 123
**Formation energy from raw total energies**: 1.03 eV/atom
**N(E_F)**: 3.51 states/eV per cell

Lattice parameters (Å, degrees): 3.6381 4.2797 4.2797 90.00 90.00 90.00
Fractional positions:
Te1 0.5000 0.5000 0.0000
Os1 0.0000 0.0000 0.0000
Os2 0.0000 0.5000 0.5000
Ag1 0.5000 0.0000 0.5000

=====

# SrScBAs2

A relaxed structure of SrScBAs2 (GGA-PBE, the Alexandria database).

Properties
**SG**: P4/mmm, No. 123
**DFT formation energy**: -0.04 eV per atom
**N(E_F)**: 2.46 states/eV per cell

Lattice parameters (Å, degrees): 5.1347 4.6161 5.1347 90.00 90.00 90.00
Fractional positions:
Sc1 0.0000 0.0000 0.0000
Sr1 0.5000 0.5000 0.5000
As1 0.0000 0.0000 0.5000
As2 0.5000 0.0000 0.0000
B1 0.0000 0.5000 0.0000

=====

# HfMo2Rh

A relaxed structure of HfMo2Rh (GGA-PBE, the Alexandria database).

Properties
**SG**: I-42d, No. 122
**DFT formation energy**: 0.34 eV per atom
**N(E_F)**: 5.76 states/eV per cell

Lattice parameters (Å, degrees): 7.5342 7.5342 5.9099 50.40 50.40 90.00
Fractional positions:
Rh1 0.5000 0.5000 0.0000
Rh2 0.2500 0.7500 0.5000
Mo1 0.5931 0.1250 0.2500
Mo2 0.1569 0.6250 0.2500
Mo3 0.3750 0.4069 0.7500
Mo4 0.8750 0.8431 0.7500
Hf1 0.0000 0.0000 0.0000
Hf2 0.7500 0.2500 0.5000

=====

# Ca3ZnRh

A relaxed structure of Ca3ZnRh (GGA-PBE, the Alexandria database).

Properties
**SG**: Pmmn, No. 59
**DFT formation energy**: -0.33 eV per atom
**N(E_F)**: 5.53 states/eV per cell

Lattice parameters (Å, degrees): 4.4409 6.5672 9.1455 90.00 90.00 90.00
Fractional positions:
Ca1 0.2500 0.7823 0.5529
Ca2 0.2500 0.2469 0.7500
Ca3 0.2500 0.7822 0.9471
Ca4 0.7500 0.2177 0.4471
Ca5 0.7500 0.2178 0.0529
Ca6 0.7500 0.7531 0.2500
Zn1 0.7500 0.5747 0.7500
Zn2 0.2500 0.4253 0.2500
Rh1 0.2500 0.0432 0.2500
Rh2 0.7500 0.9568 0.7500

=====

# ZrZn4Si

A relaxed structure of ZrZn4Si (GGA-PBE, the Alexandria database).

Properties
**SG**: F-43m, No. 216
**Formation energy from raw total energies**: 0.10 eV/atom
**N(E_F)**: 5.55 states/eV per cell

Lattice parameters (Å, degrees): 5.1839 5.1839 5.1839 60.00 60.00 60.00
Fractional positions:
Zr1 0.2500 0.2500 0.2500
Zn1 0.6247 0.6247 0.1259
Zn2 0.6247 0.1259 0.6247
Zn3 0.6247 0.6247 0.6247
Zn4 0.1259 0.6247 0.6247
Si1 0.0000 0.0000 0.0000

=====

# MnZn2Ag2

A relaxed structure of MnZn2Ag2 (GGA-PBE, the Alexandria database).

Properties
**SG**: P4/mbm, No. 127
**DFT formation energy**: 0.49 eV per atom
**N(E_F)**: 9.42 states/eV per cell

Lattice parameters (Å, degrees): 7.3621 7.3621 2.8787 90.00 90.00 90.00
Fractional positions:
Zn1 0.3710 0.8710 0.0000
Zn2 0.8710 0.6290 0.0000
Zn3 0.6290 0.1290 0.0000
Zn4 0.1290 0.3710 0.0000
Mn1 0.0000 0.0000 0.0000
Mn2 0.5000 0.5000 0.0000
Ag1 0.1711 0.6711 0.5000
Ag2 0.6711 0.8289 0.5000
Ag3 0.8289 0.3289 0.5000
Ag4 0.3289 0.1711 0.5000

=====

# NaOs3Rh

A relaxed structure of NaOs3Rh (GGA-PBE, the Alexandria database).

Properties
**SG**: Pm-3m, No. 221
**DFT formation energy**: 3.02 eV per atom
**N(E_F)**: 6.83 states/eV per cell

Lattice parameters (Å, degrees): 4.3636 4.3636 4.3636 90.00 90.00 90.00
Fractional positions:
Rh1 0.5000 0.5000 0.5000
Os1 0.0000 0.5000 0.0000
Os2 0.0000 0.0000 0.5000
Os3 0.5000 0.0000 0.0000
Na1 0.0000 0.0000 0.0000

=====

# Pa3Ge2Sb

A relaxed structure of Pa3Ge2Sb (GGA-PBE, the Alexandria database).

Properties
**SG**: C2/c, No. 15
**Formation energy from raw total energies**: -0.43 eV/atom
**N(E_F)**: 18.43 states/eV per cell

Lattice parameters (Å, degrees): 5.9658 7.3076 8.3861 106.67 90.00 114.09
Fractional positions:
Pa1 0.4996 0.0000 0.7500
Pa2 0.5004 0.0000 0.2500
Pa3 0.8210 0.6424 0.9106
Pa4 0.1786 0.3576 0.5894
Pa5 0.8214 0.6424 0.4106
Pa6 0.1790 0.3576 0.0894
Ge1 0.3384 0.6762 0.4190
Ge2 0.3379 0.6762 0.9190
Ge3 0.6621 0.3238 0.0810
Ge4 0.6616 0.3238 0.5810
Sb1 0.0004 0.0000 0.2500
Sb2 0.9996 0.0000 0.7500

=====

# NdHo4P5

A relaxed structure of NdHo4P5 (GGA-PBE, the Alexandria database).

Properties
**SG**: C2/m, No. 12
**DFT formation energy**: -1.59 eV per atom
**N(E_F)**: 1.52 states/eV per cell

Lattice parameters (Å, degrees): 4.0267 6.9663 8.9994 75.07 77.07 73.20
Fractional positions:
Nd1 0.0000 0.0000 0.0000
Ho1 0.5987 0.2025 0.6001
Ho2 0.2006 0.3959 0.2029
Ho3 0.7994 0.6041 0.7971
Ho4 0.4013 0.7975 0.3999
P1 0.2024 0.9011 0.6941
P2 0.7976 0.0989 0.3059
P3 0.3959 0.3115 0.8967
P4 0.0000 0.5000 0.5000
P5 0.6041 0.6885 0.1033